## w
Entry from Alexandria via LeMat-Bulk: a relaxed structure of BPt2I (GGA-PBE).

Calculated values
- Calculated density: 13.03 g/cm3
- Fermi-level density of states: 1.784 states/eV/f.u.

abc: 4.5653 4.5653 4.5653
angles: 60.00 60.00 60.00
Atoms (fractional coordinates):
B  0.0000  0.0000  0.0000
Pt  0.2500  0.2500  0.2500
Pt  0.7500  0.7500  0.7500
I  0.5000  0.5000  0.5000


## x
Entry from Alexandria via LeMat-Bulk: a relaxed structure of BPt2I (GGA-PBE).

Calculated values
- Calculated density: 10.97 g/cm3
- Fermi-level density of states: 0.900 states/eV/f.u.

abc: 7.0832 7.0832 7.0832
angles: 137.58 137.58 61.55
Atoms (fractional coordinates):
B  0.0000  0.0000  0.0000
B  0.7500  0.2500  0.5000
Pt  0.0090  0.6250  0.8840
Pt  0.3750  0.2590  0.3840
Pt  0.7410  0.1250  0.1160
Pt  0.8750  0.9910  0.6160
I  0.2500  0.7500  0.5000
I  0.5000  0.5000  0.0000


Stability verdict: x, ahead by 935 meV per atom


## w
Entry from Alexandria via LeMat-Bulk: a relaxed structure of BSbPtI2 (GGA-PBE).

Calculated values
- Calculated density: 5.95 g/cm3
- Fermi-level density of states: 3.467 states/eV/f.u.

abc: 5.6346 5.6346 5.1128
angles: 90.00 90.00 90.00
Atoms (fractional coordinates):
B  0.0000  0.0000  0.0000
Sb  0.5000  0.5000  0.0000
Pt  0.5000  0.5000  0.5000
I  0.0000  0.5000  0.5000
I  0.5000  0.0000  0.5000


## x
Entry from Alexandria via LeMat-Bulk: a relaxed structure of BSbPtI2 (GGA-PBE).

Calculated values
- Calculated density: 8.29 g/cm3
- Fermi-level density of states: 5.077 states/eV/f.u.

abc: 4.8203 4.8203 5.0101
angles: 90.00 90.00 90.00
Atoms (fractional coordinates):
B  0.0000  0.0000  0.0000
Sb  0.0000  0.0000  0.5000
Pt  0.5000  0.5000  0.5000
I  0.0000  0.5000  0.0000
I  0.5000  0.0000  0.0000


Stability verdict: x, ahead by 7 meV per atom


## w
Entry from Alexandria via LeMat-Bulk: a relaxed structure of BTe2PtI (GGA-PBE).

Calculated values
- Calculated density: 8.70 g/cm3
- Fermi-level density of states: 4.525 states/eV/f.u.

abc: 4.8678 4.8678 4.7372
angles: 90.00 90.00 90.00
Atoms (fractional coordinates):
B  0.0000  0.0000  0.0000
Te  0.0000  0.5000  0.0000
Te  0.5000  0.0000  0.0000
Pt  0.5000  0.5000  0.5000
I  0.0000  0.0000  0.5000


## x
Entry from Alexandria via LeMat-Bulk: a relaxed structure of BTe2PtI (GGA-PBE).

Calculated values
- Calculated density: 6.23 g/cm3
- Fermi-level density of states: 7.357 states/eV/f.u.

abc: 5.2981 5.2981 5.5862
angles: 90.00 90.00 90.00
Atoms (fractional coordinates):
B  0.0000  0.0000  0.0000
Te  0.0000  0.5000  0.5000
Te  0.5000  0.0000  0.5000
Pt  0.5000  0.5000  0.5000
I  0.5000  0.5000  0.0000


Stability verdict: w, ahead by 132 meV per atom


## w
Entry from Alexandria via LeMat-Bulk: a relaxed structure of Rb3BI6 (GGA-PBE).

Calculated values
- Calculated density: 3.58 g/cm3
- Fermi-level density of states: 0.000 states/eV/f.u.

abc: 8.6016 8.6016 8.6016
angles: 115.11 115.11 98.71
Atoms (fractional coordinates):
Rb  0.0000  0.0000  0.0000
Rb  0.2500  0.7500  0.5000
Rb  0.7500  0.2500  0.5000
B  0.5000  0.5000  0.0000
I  0.2646  0.2646  0.5292
I  0.2646  0.7354  0.0000
I  0.3102  0.3102  0.0000
I  0.6898  0.6898  0.0000
I  0.7354  0.2646  0.0000
I  0.7354  0.7354  0.4708


## x
Entry from Alexandria via LeMat-Bulk: a relaxed structure of Rb3BI6 (GGA-PBE).

Calculated values
- Calculated density: 3.37 g/cm3
- Fermi-level density of states: 0.000 states/eV/f.u.

abc: 10.4681 10.4681 9.3523
angles: 90.00 90.00 81.43
Atoms (fractional coordinates):
Rb  0.0082  0.9918  0.5000
Rb  0.1810  0.4071  0.9243
Rb  0.4071  0.1810  0.4243
Rb  0.5929  0.8190  0.9243
Rb  0.8190  0.5929  0.4243
Rb  0.9918  0.0082  0.0000
B  0.2938  0.7062  0.2733
B  0.7062  0.2938  0.7733
I  0.0864  0.2620  0.2581
I  0.0964  0.6763  0.1912
I  0.2620  0.0864  0.7581
I  0.2949  0.7051  0.5123
I  0.3237  0.9036  0.1912
I  0.4469  0.5531  0.1809
I  0.5531  0.4469  0.6809
I  0.6763  0.0964  0.6912
I  0.7051  0.2949  0.0123
I  0.7380  0.9136  0.2581
I  0.9036  0.3237  0.6912
I  0.9136  0.7380  0.7581


Stability verdict: x, ahead by 298 meV per atom


## w
Entry from Alexandria via LeMat-Bulk: a relaxed structure of RbBI2 (GGA-PBE).

Calculated values
- Calculated density: 3.27 g/cm3
- Fermi-level density of states: 0.188 states/eV/f.u.

abc: 8.4987 8.4987 8.4987
angles: 129.59 129.59 74.07
Atoms (fractional coordinates):
Rb  0.0000  0.0000  0.0000
Rb  0.7500  0.2500  0.5000
B  0.2500  0.7500  0.5000
B  0.5000  0.5000  0.0000
I  0.2648  0.6250  0.1398
I  0.3750  0.5148  0.6398
I  0.4852  0.1250  0.8602
I  0.8750  0.7352  0.3602


## x
Entry from Alexandria via LeMat-Bulk: a relaxed structure of RbBI2 (GGA-PBE).

Calculated values
- Calculated density: 4.12 g/cm3
- Fermi-level density of states: 0.000 states/eV/f.u.

abc: 5.8429 5.8429 5.8429
angles: 60.00 60.00 60.00
Atoms (fractional coordinates):
Rb  0.0000  0.0000  0.0000
B  0.5000  0.5000  0.5000
I  0.2500  0.2500  0.2500
I  0.7500  0.7500  0.7500


Stability verdict: w, ahead by 285 meV per atom


## w
Entry from Alexandria via LeMat-Bulk: a relaxed structure of RbB2I (GGA-PBE).

Calculated values
- Calculated density: 3.98 g/cm3
- Fermi-level density of states: 4.389 states/eV/f.u.

abc: 5.1667 5.1667 5.1667
angles: 60.00 60.00 60.00
Atoms (fractional coordinates):
Rb  0.0000  0.0000  0.0000
B  0.2500  0.2500  0.2500
B  0.7500  0.7500  0.7500
I  0.5000  0.5000  0.5000


## x
Entry from Alexandria via LeMat-Bulk: a relaxed structure of RbB2I (GGA-PBE).

Calculated values
- Calculated density: 3.72 g/cm3
- Fermi-level density of states: 1.274 states/eV/f.u.

abc: 6.4846 6.4846 6.4846
angles: 107.16 107.16 114.21
Atoms (fractional coordinates):
Rb  0.0000  0.0000  0.0000
Rb  0.7500  0.2500  0.5000
B  0.1901  0.1250  0.5651
B  0.3750  0.8099  0.9349
B  0.5599  0.6250  0.4349
B  0.8750  0.4401  0.0651
I  0.2500  0.7500  0.5000
I  0.5000  0.5000  0.0000


Stability verdict: x, ahead by 191 meV per atom


## w
Entry from Alexandria via LeMat-Bulk: a relaxed structure of RbBTeI2 (GGA-PBE).

Calculated values
- Calculated density: 4.62 g/cm3
- Fermi-level density of states: 3.661 states/eV/f.u.

abc: 6.1853 6.1853 4.4888
angles: 90.00 90.00 90.00
Atoms (fractional coordinates):
Rb  0.0000  0.0000  0.0000
B  0.5000  0.5000  0.5000
Te  0.5000  0.5000  0.0000
I  0.0000  0.5000  0.5000
I  0.5000  0.0000  0.5000


## x
Entry from Alexandria via LeMat-Bulk: a relaxed structure of RbBTeI2 (GGA-PBE).

Calculated values
- Calculated density: 2.44 g/cm3
- Fermi-level density of states: 7.556 states/eV/f.u.

abc: 6.8838 6.8838 6.8520
angles: 90.00 90.00 90.00
Atoms (fractional coordinates):
Rb  0.0000  0.0000  0.0000
B  0.5000  0.5000  0.5000
Te  0.0000  0.0000  0.5000
I  0.0000  0.5000  0.0000
I  0.5000  0.0000  0.0000


Stability verdict: w, ahead by 1106 meV per atom


## w
Entry from Alexandria via LeMat-Bulk: a relaxed structure of ReB3I (GGA-PBE).

Calculated values
- Calculated density: 7.46 g/cm3
- Fermi-level density of states: 8.018 states/eV/f.u.

abc: 4.2530 4.2530 4.2530
angles: 90.00 90.00 90.00
Atoms (fractional coordinates):
Re  0.0000  0.0000  0.0000
B  0.0000  0.5000  0.5000
B  0.5000  0.0000  0.5000
B  0.5000  0.5000  0.0000
I  0.5000  0.5000  0.5000


## x
Entry from Alexandria via LeMat-Bulk: a relaxed structure of ReB3I (GGA-PBE).

Calculated values
- Calculated density: 7.17 g/cm3
- Fermi-level density of states: 4.569 states/eV/f.u.

abc: 4.3103 4.3103 4.3103
angles: 90.00 90.00 90.00
Atoms (fractional coordinates):
Re  0.0000  0.0000  0.0000
B  0.0000  0.0000  0.5000
B  0.0000  0.5000  0.0000
B  0.5000  0.0000  0.0000
I  0.5000  0.5000  0.5000


Stability verdict: x, ahead by 1767 meV per atom


## w
Entry from Alexandria via LeMat-Bulk: a relaxed structure of Re2BI (GGA-PBE).

Calculated values
- Calculated density: 14.64 g/cm3
- Fermi-level density of states: 2.854 states/eV/f.u.

abc: 4.3418 4.3418 4.3418
angles: 60.00 60.00 60.00
Atoms (fractional coordinates):
Re  0.2500  0.2500  0.2500
Re  0.7500  0.7500  0.7500
B  0.0000  0.0000  0.0000
I  0.5000  0.5000  0.5000


## x
Entry from Alexandria via LeMat-Bulk: a relaxed structure of Re2BI (GGA-PBE).

Calculated values
- Calculated density: 11.52 g/cm3
- Fermi-level density of states: 0.320 states/eV/f.u.

abc: 7.5855 7.5855 7.5855
angles: 144.41 144.41 51.22
Atoms (fractional coordinates):
Re  0.0023  0.6250  0.8773
Re  0.3750  0.2523  0.3773
Re  0.7477  0.1250  0.1227
Re  0.8750  0.9977  0.6227
B  0.0000  0.0000  0.0000
B  0.7500  0.2500  0.5000
I  0.2500  0.7500  0.5000
I  0.5000  0.5000  0.0000


Stability verdict: x, ahead by 424 meV per atom


## w
Entry from Alexandria via LeMat-Bulk: a relaxed structure of Re3BI (GGA-PBE).

Calculated values
- Calculated density: 14.93 g/cm3
- Fermi-level density of states: 6.769 states/eV/f.u.

abc: 4.2629 4.2629 4.2629
angles: 90.00 90.00 90.00
Atoms (fractional coordinates):
Re  0.0000  0.0000  0.5000
Re  0.0000  0.5000  0.0000
Re  0.5000  0.0000  0.0000
B  0.0000  0.0000  0.0000
I  0.5000  0.5000  0.5000


## x
Entry from Alexandria via LeMat-Bulk: a relaxed structure of Re3BI (GGA-PBE).

Calculated values
- Calculated density: 10.19 g/cm3
- Fermi-level density of states: 3.743 states/eV/f.u.

abc: 4.8417 4.8417 4.8417
angles: 90.00 90.00 90.00
Atoms (fractional coordinates):
Re  0.0000  0.0000  0.5000
Re  0.0000  0.5000  0.0000
Re  0.5000  0.0000  0.0000
B  0.5000  0.5000  0.5000
I  0.0000  0.0000  0.0000


Stability verdict: w, ahead by 2662 meV per atom


## w
Entry from Alexandria via LeMat-Bulk: a relaxed structure of ReB2I (GGA-PBE).

Calculated values
- Calculated density: 10.81 g/cm3
- Fermi-level density of states: 1.821 states/eV/f.u.

abc: 4.1745 4.1745 4.1745
angles: 60.00 60.00 60.00
Atoms (fractional coordinates):
Re  0.0000  0.0000  0.0000
B  0.2500  0.2500  0.2500
B  0.7500  0.7500  0.7500
I  0.5000  0.5000  0.5000


## x
Entry from Alexandria via LeMat-Bulk: a relaxed structure of ReB2I (GGA-PBE).

Calculated values
- Calculated density: 7.25 g/cm3
- Fermi-level density of states: 1.393 states/eV/f.u.

abc: 6.3737 6.3737 6.3737
angles: 128.71 128.71 75.48
Atoms (fractional coordinates):
Re  0.0000  0.0000  0.0000
Re  0.7500  0.2500  0.5000
B  0.0245  0.6250  0.8995
B  0.3750  0.2745  0.3995
B  0.7255  0.1250  0.1005
B  0.8750  0.9755  0.6005
I  0.2500  0.7500  0.5000
I  0.5000  0.5000  0.0000


Stability verdict: x, ahead by 882 meV per atom


## w
Entry from Alexandria via LeMat-Bulk: a relaxed structure of ReBI3 (GGA-PBE).

Calculated values
- Calculated density: 5.74 g/cm3
- Fermi-level density of states: 4.962 states/eV/f.u.

abc: 5.5081 5.5081 5.5081
angles: 90.00 90.00 90.00
Atoms (fractional coordinates):
Re  0.0000  0.0000  0.0000
B  0.5000  0.5000  0.5000
I  0.0000  0.0000  0.5000
I  0.0000  0.5000  0.0000
I  0.5000  0.0000  0.0000


## x
Entry from Alexandria via LeMat-Bulk: a relaxed structure of ReBI3 (GGA-PBE).

Calculated values
- Calculated density: 8.47 g/cm3
- Fermi-level density of states: 4.932 states/eV/f.u.

abc: 4.8381 4.8381 4.8381
angles: 90.00 90.00 90.00
Atoms (fractional coordinates):
Re  0.0000  0.0000  0.0000
B  0.5000  0.5000  0.5000
I  0.0000  0.5000  0.5000
I  0.5000  0.0000  0.5000
I  0.5000  0.5000  0.0000


Stability verdict: w, ahead by 390 meV per atom


## w
Entry from Alexandria via LeMat-Bulk: a relaxed structure of ReBTeI2 (GGA-PBE).

Calculated values
- Calculated density: 8.87 g/cm3
- Fermi-level density of states: 3.509 states/eV/f.u.

abc: 4.7661 4.7661 4.7659
angles: 90.00 90.00 90.00
Atoms (fractional coordinates):
Re  0.0000  0.0000  0.0000
B  0.5000  0.5000  0.5000
Te  0.5000  0.5000  0.0000
I  0.0000  0.5000  0.5000
I  0.5000  0.0000  0.5000


## x
Entry from Alexandria via LeMat-Bulk: a relaxed structure of ReBTeI2 (GGA-PBE).

Calculated values
- Calculated density: 5.95 g/cm3
- Fermi-level density of states: 4.867 states/eV/f.u.

abc: 5.6517 5.6517 5.0525
angles: 90.00 90.00 90.00
Atoms (fractional coordinates):
Re  0.0000  0.0000  0.0000
B  0.5000  0.5000  0.5000
Te  0.0000  0.0000  0.5000
I  0.0000  0.5000  0.0000
I  0.5000  0.0000  0.0000


Stability verdict: x, ahead by 242 meV per atom